Here is a geometry-optimized TmGe2PtRh2 structure from Alexandria via LeMat-Bulk. Energies are from PBE.

Computed properties:
uncorrected energy	-5.93	eV per atom
ΔE_f	-0.186	eV per atom
theoretical density	10.0	g/cm3
total moment	0.000	μB per formula unit

Lattice parameters (Å, degrees): 4.656 4.656 5.485 90.00 90.00 90.00
Space group P4/mmm (No. 123)
Inequivalent atoms, fractional coordinates:
Tm 0.000 0.000 0.000
Ge 0.000 0.500 0.500
Pt 0.000 0.000 0.500
Rh 0.500 0.500 0.242